InAgW2 (PBE, relaxed); D(E_F) = 2.22 states/eV/f.u.; space-group type = P4mm, No. 99; VASP energy = -7.42 eV per atom; calculated density = 13.5 g/cm³; E_form = 0.45 eV per atom; size of the total moment = 0.000 μB per atom
1.0
3.343 0.000 0.000
0.000 3.343 0.000
0.000 0.000 6.506
In Ag W
1 1 2
direct
0.000 0.000 0.000
0.500 0.500 0.753
0.000 0.000 0.471
0.500 0.500 0.293